(1)
VASP calculation (PBE-GGA) on crystalline ZnFe2Ag at its relaxed geometry.

Summary:
formation energy from the elements = 181 meV/atom
calculated volume = 54.2 Å³ per cell
ρ = 8.7 g cm⁻³

a = 2.6596 Å, b = 2.6596 Å, c = 7.6560 Å
α = 90.00°, β = 90.00°, γ = 90.00°
Site moments in Bohr magnetons follow the coordinates.
Fractional positions:
Zn  0.0000  0.0000  0.4736  0.03
Fe  0.5000  0.5000  0.2385  -1.82
Ag  0.5000  0.5000  0.7566  0.01
Fe  0.0000  0.0000  0.0312  2.22



(2)
VASP calculation (PBE-GGA) on crystalline Na3CuH4 at its relaxed geometry.

Summary:
calculated volume = 220.1 Å³ per cell
calculated total energy = -45.361 eV/cell
ρ = 2.1 g cm⁻³

a = 5.4425 Å, b = 5.9288 Å, c = 6.8210 Å
α = 90.00°, β = 90.00°, γ = 90.00°
Fractional positions:
Na  0.5096  0.8801  0.0000
Na  0.5074  0.3242  0.7438
H  0.0974  0.3087  0.2068
H  0.5974  0.6913  0.2932
H  0.7041  0.2064  0.0000
Na  0.0074  0.6758  0.7562
H  0.2041  0.7936  0.5000
H  0.5870  0.0796  0.5000
Cu  0.5050  0.8092  0.5000
Na  0.0074  0.6758  0.2438
H  0.5974  0.6913  0.7068
H  0.0870  0.9204  0.0000
Cu  0.0050  0.1908  0.0000
Na  0.0096  0.1199  0.5000
Na  0.5074  0.3242  0.2562
H  0.0974  0.3087  0.7932



(3)
VASP calculation (PBE-GGA) on crystalline ZrAgGe2 at its relaxed geometry.

Summary:
formation energy from the elements = -272 meV/atom
relative energy among the computed polymorphs = 0.000 eV per atom
calculated volume = 73.0 Å³ per cell
ρ = 7.8 g cm⁻³

a = 3.8355 Å, b = 4.3632 Å, c = 4.3632 Å
α = 90.00°, β = 90.00°, γ = 90.00°
Fractional positions:
Ge  0.0000  0.5000  0.0000
Ag  0.5000  0.5000  0.5000
Ge  0.0000  0.0000  0.5000
Zr  0.5000  0.0000  0.0000



(4)
VASP calculation (PBE-GGA) on crystalline Rb2AgSb3Pb4 at its relaxed geometry.

Summary:
calculated volume = 370.0 Å³ per cell
calculated total energy = -33.222 eV/cell
ρ = 6.6 g cm⁻³

a = 5.3604 Å, b = 5.3604 Å, c = 12.8779 Å
α = 90.00°, β = 90.00°, γ = 90.00°
Fractional positions:
Pb  0.0000  0.5000  0.3848
Sb  0.5000  0.0000  0.8575
Sb  0.0000  0.0000  0.5000
Rb  0.5000  0.0000  0.2656
Rb  0.0000  0.5000  0.7344
Ag  0.5000  0.5000  0.5000
Sb  0.0000  0.5000  0.1425
Pb  0.0000  0.0000  0.0000
Pb  0.5000  0.5000  0.0000
Pb  0.5000  0.0000  0.6152



(5)
VASP calculation (PBE-GGA) on crystalline NiCl at its relaxed geometry.

Summary:
calculated volume = 128.5 Å³ per cell
calculated total energy = -23.766 eV/cell
ρ = 3.6 g cm⁻³

a = 5.3106 Å, b = 5.3106 Å, c = 8.1146 Å
α = 69.87°, β = 69.87°, γ = 37.07°
Site moments in Bohr magnetons follow the coordinates.
Fractional positions:
Ni  0.9831  0.9831  0.9212  1.00
Cl  0.6885  0.6885  0.7985  0.09
Ni  0.3133  0.3133  0.8807  0.76
Cl  0.5403  0.5403  0.4688  0.10
Cl  0.3706  0.3706  0.1179  0.11
Ni  0.9377  0.9377  0.6462  0.96



(6)
VASP calculation (PBE-GGA) on crystalline CrSiPt2 at its relaxed geometry.

Summary:
calculated volume = 57.5 Å³ per cell
calculated total energy = -28.574 eV/cell
ρ = 13.6 g cm⁻³

a = 3.8991 Å, b = 3.9008 Å, c = 3.7782 Å
α = 90.00°, β = 90.00°, γ = 90.00°
Site moments in Bohr magnetons follow the coordinates.
Fractional positions:
Pt  0.5000  0.5000  0.0000  0.11
Cr  0.0000  0.5000  0.5000  2.92
Si  0.5000  0.0000  0.5000  -0.07
Pt  0.0000  0.0000  0.0000  0.11



(7)
VASP calculation (PBE-GGA) on crystalline MnCdIr2 at its relaxed geometry.

Summary:
formation energy from the elements = 77 meV/atom
calculated volume = 61.9 Å³ per cell
ρ = 14.8 g cm⁻³

a = 4.8390 Å, b = 4.8390 Å, c = 4.8601 Å
α = 77.15°, β = 77.15°, γ = 34.01°
Site moments in Bohr magnetons follow the coordinates.
Fractional positions:
Mn  0.2500  0.2500  0.2500  3.36
Ir  0.9861  0.9861  0.0184  0.14
Cd  0.7500  0.7500  0.7500  -0.01
Ir  0.5139  0.5139  0.4816  0.14



(8)
VASP calculation (PBE-GGA) on crystalline CsRuN at its relaxed geometry.

Summary:
relative energy among the computed polymorphs = 0.078 eV per atom
calculated volume = 346.4 Å³ per cell
ρ = 4.8 g cm⁻³

a = 5.5295 Å, b = 11.5318 Å, c = 5.4320 Å
α = 90.00°, β = 90.00°, γ = 90.00°
Fractional positions:
N  0.5000  0.0671  0.2500
Ru  0.2500  0.9777  0.5196
Cs  0.7500  0.2694  0.0019
N  0.0000  0.0671  0.2500
N  0.5000  0.9329  0.7500
N  0.0000  0.9329  0.7500
Cs  0.2500  0.7306  0.9981
Cs  0.7500  0.7306  0.5019
Ru  0.7500  0.0223  0.4804
Ru  0.2500  0.0223  0.0196
Ru  0.7500  0.9777  0.9804
Cs  0.2500  0.2694  0.4981